*1*
# SrLaIr

A relaxed structure of SrLaIr (GGA-PBE, the Alexandria database).

Results
For the total moment, the calculation gives 0.0 μB per cell. As for the space group: I4mm (107).

Cell lengths 7.5417, 7.5415, 3.6517 Å; angles 75.99, 75.99, 28.02 degrees
Closest atoms and distances in Å follow each position.
Fractional positions:
Ir (0.9864, 0.9864, 0.0136)  4 La 2.96, 4 Sr 3.28
La (0.3848, 0.3848, 0.6152)  4 Ir 2.96
Sr (0.6287, 0.6287, 0.3713)  4 Ir 3.28, 1 La 3.46, 4 Sr 3.65


*2*
# SrLaIr

A relaxed structure of SrLaIr (GGA-PBE, the Alexandria database).

Results
For the total moment, the calculation gives 0.0 μB per cell. As for the space group: P3m1 (156).

Cell lengths 4.2671, 4.2671, 6.8561 Å; angles 90.00, 90.00, 120.00 degrees
Closest atoms and distances in Å follow each position.
Fractional positions:
Sr (0.3333, 0.6667, 0.7586)  3 Ir 3.06
Ir (0.0000, 0.0000, 0.0233)  3 La 2.80, 3 Sr 3.06
La (0.6667, 0.3333, 0.2180)  3 Ir 2.80


On energetic grounds, *2* is preferred over the next structure by 49 meV/atom.


*1*
# Sr2LaIr

A relaxed structure of Sr2LaIr (GGA-PBE, the Alexandria database).

Results
For the total moment, the calculation gives 0.0 μB per cell. As for the space group: R-3m (166).

Cell lengths 10.7485, 10.7485, 10.7485 Å; angles 22.04, 22.04, 22.04 degrees
Closest atoms and distances in Å follow each position.
Fractional positions:
Ir (0.2500, 0.2500, 0.2500)  6 Sr 2.92
La (0.7500, 0.7500, 0.7500)  6 La 4.11, 6 Sr 4.27
Sr (0.9706, 0.9706, 0.9706)  3 Ir 2.92
Sr (0.5294, 0.5294, 0.5294)  3 Ir 2.92


*2*
# Sr2LaIr

A relaxed structure of Sr2LaIr (GGA-PBE, the Alexandria database).

Results
For the total moment, the calculation gives 0.0 μB per cell. As for the space group: C2/m (12).

Cell lengths 6.0753, 6.0753, 3.6810 Å; angles 89.87, 89.87, 118.46 degrees
Closest atoms and distances in Å follow each position.
Fractional positions:
Ir (0.5000, 0.0000, 0.5000)  2 La 3.11
La (0.0000, 0.5000, 0.5000)  2 Ir 3.11
Sr (0.0000, 0.0000, 0.0000)  2 Sr 3.11
Sr (0.5000, 0.5000, 0.0000)  2 Sr 3.11


On energetic grounds, *1* is preferred over the next structure by 145 meV/atom.